Computed, not measured: a relaxed Ac4TbPr crystal at the PBE-GGA level of DFT.

Unit cell a=5.8583 b=5.8723 c=10.2242 alpha=73.34 beta=73.35 gamma=60.08
Closest atoms and distances in Å follow each position.
Positions (direct):
Ac (0.1232, 0.1217, 0.6319)  1 Tb 3.55, 3 Pr 3.62
Ac (0.6264, 0.6261, 0.1211)  3 Tb 3.58-3.59, 1 Pr 3.66
Ac (0.3736, 0.3739, 0.8789)  3 Tb 3.58-3.59, 1 Pr 3.66
Ac (0.8768, 0.8783, 0.3681)  1 Tb 3.55, 3 Pr 3.62
Tb (0.0000, 0.0000, 0.0000)  8 Ac 3.55-3.59
Pr (0.5000, 0.5000, 0.5000)  8 Ac 3.62-3.66

Properties
* space-group type: No. 12
* energy relative to the lowest polymorph listed for this composition: 0.546 eV per atom
* V: 47.9 Å³/atom


Computed, not measured: a relaxed AcTb5Pr4 crystal at the PBE-GGA level of DFT.

Unit cell a=3.6962 b=3.6962 c=25.4993 alpha=90.00 beta=90.00 gamma=90.00
Closest atoms and distances in Å follow each position.
Positions (direct):
Ac (0.0000, 0.0000, 0.0000)  4 Ac 3.70, 8 Tb 3.75
Pr (0.0000, 0.0000, 0.2037)  8 Tb 3.62-3.63, 4 Pr 3.70
Tb (0.5000, 0.5000, 0.6973)  8 Pr 3.63, 4 Tb 3.70
Pr (0.0000, 0.0000, 0.7963)  8 Tb 3.62-3.63, 4 Pr 3.70
Tb (0.5000, 0.5000, 0.5000)  8 Pr 3.63, 4 Tb 3.70
Pr (0.0000, 0.0000, 0.5987)  8 Tb 3.63, 4 Pr 3.70
Tb (0.5000, 0.5000, 0.3027)  8 Pr 3.63, 4 Tb 3.70
Pr (0.0000, 0.0000, 0.4013)  8 Tb 3.63, 4 Pr 3.70
Tb (0.5000, 0.5000, 0.1056)  4 Pr 3.62, 4 Tb 3.70, 4 Ac 3.75
Tb (0.5000, 0.5000, 0.8944)  4 Pr 3.62, 4 Tb 3.70, 4 Ac 3.75

Properties
* space-group type: No. 123
* V: 34.8 Å³/atom


no.,mass density (g/cm3),size of the total moment (μB/cell),energy of formation from the pure elements (meV per atom)
1,6.97,0.00,583
2,7.56,0.00,27